A plane-wave DFT calculation with PBE was carried out for crystalline ZrAlSe2 at its relaxed geometry.

Cell: 6.1779 6.1779 6.1779 Å, 143.89 143.89 52.00°
Last column: nearest neighbours and their distance in Å.
Fractional coordinates of all 4 atoms:
Al 0.7500 0.2500 0.5000  4 Se 2.71
Se 0.0000 0.0000 0.0000  4 Zr 2.71
Se 0.2500 0.7500 0.5000  4 Al 2.71
Zr 0.5000 0.5000 0.0000  4 Se 2.71

The value obtained for the uncorrected formation energy is -0.46 eV/atom. Its crystal system is tetragonal.

A plane-wave DFT calculation with PBE was carried out for crystalline LiMnNbMo2 at its relaxed geometry.

Cell: 4.7457 4.9487 4.7457 Å, 90.00 90.00 90.00°
Last column: nearest neighbours and their distance in Å.
Fractional coordinates of all 5 atoms:
Nb 0.0000 0.0000 0.0000  4 Mo 2.37, 2 Mn 2.47
Li 0.5000 0.5000 0.5000  4 Mn 3.36, 8 Mo 3.43
Mn 0.0000 0.5000 0.0000  2 Nb 2.47
Mo 0.5000 0.0000 0.0000  2 Nb 2.37
Mo 0.0000 0.0000 0.5000  2 Nb 2.37

The formation energy comes out at 1.5613 eV per atom. Its crystal system is tetragonal.

| no. | DFT total energy (eV per atom) |
| --- | --- |
| 1 | -5.279 |
| 2 | -7.002 |